VASP calculation (PBE+U) on a geometry-optimized CrCoO structure.

```
12
Lattice="2.9631 0.0000 0.0000 0.0000 11.5174 0.0000 0.0000 0.0000 4.5492" Properties=species:S:1:pos:R:3 pbc="T T T"
Cr 1.4816 1.7596 0.2447
Cr 0.0000 3.9991 2.5193
Cr 1.4816 9.7579 2.5193
Cr 0.0000 7.5183 0.2447
Co 1.4816 6.2858 2.3074
Co 0.0000 0.5271 2.3074
Co 0.0000 10.9904 0.0328
Co 1.4816 5.2316 0.0328
O 0.0000 2.3783 1.3756
O 1.4816 8.1370 1.3756
O 1.4816 3.3805 3.6502
O 0.0000 9.1392 3.6502
```

Summary:
- ΔE to the lowest computed polymorph: 0.296 eV/atom
- Space group: Cmc2_1